## Sr3ErPa3N8 (GGA-PBE)

Data for a relaxed Sr3ErPa3N8 crystal.

Properties
The uncorrected formation energy is -1.357 eV/atom. Its density of states at the Fermi level is 0.04 states/eV/f.u. Its total magnetization is 0.0 Bohr magnetons per cell. The value obtained for the final energy is -0.6128 Ry/atom.

POSCAR file:
```
Sr3ErPa3N8
1.0
7.128 0.000 0.000
-3.564 6.173 -0.021
0.000 -4.095 6.027
N Sr Er Pa
8 3 1 3
Cartesian
3.564 0.014 4.258 N
-1.741 3.077 4.093 N
1.823 -0.999 1.912 N
0.000 2.064 1.748 N
0.000 0.061 4.104 N
3.564 2.017 1.902 N
5.305 -0.999 1.913 N
1.741 3.077 4.093 N
-1.782 3.087 -0.011 Sr
0.000 0.000 0.000 Sr
1.782 3.086 -0.011 Sr
0.000 -2.047 3.014 Er
1.782 1.039 3.003 Pa
-1.782 1.039 3.003 Pa
3.564 -2.047 3.014 Pa
```

## Er2PaTaN6 (GGA-PBE)

Data for a relaxed Er2PaTaN6 crystal.

Properties
The uncorrected formation energy is -1.153 eV/atom. Its density of states at the Fermi level is 7.98 states/eV/f.u. Its total magnetization is 0.0 Bohr magnetons per cell. The value obtained for the final energy is -0.6759 Ry/atom.

POSCAR file:
```
Er2PaTaN6
1.0
5.741 0.000 0.000
2.870 4.971 0.000
2.870 1.657 4.890
Pa N Er Ta
1 6 2 1
Cartesian
8.611 4.971 2.796 Pa
6.684 4.617 3.743 N
4.653 1.345 1.267 N
6.397 1.846 3.743 N
4.140 3.479 3.743 N
7.990 3.358 1.266 N
4.579 5.241 1.267 N
2.870 1.657 4.414 Er
5.741 3.314 1.938 Er
2.870 1.657 0.345 Ta
```

## ErPa2TaN6 (GGA-PBE)

Data for a relaxed ErPa2TaN6 crystal.

Properties
The uncorrected formation energy is -1.501 eV/atom. Its density of states at the Fermi level is 0.00 states/eV/f.u. Its total magnetization is 0.0 Bohr magnetons per cell. The value obtained for the final energy is -0.7377 Ry/atom.

POSCAR file:
```
ErPa2TaN6
1.0
-5.205 2.309 -0.991
-4.388 -1.117 3.591
-1.974 4.319 3.582
N Pa Er Ta
6 2 1 1
Cartesian
-4.017 3.124 4.029 N
-5.730 4.706 2.516 N
-5.748 0.443 4.104 N
-4.473 2.188 1.009 N
-8.079 2.590 2.053 N
-6.672 3.422 4.795 N
-5.870 2.477 2.898 Pa
-2.062 4.037 3.387 Pa
-8.861 3.538 4.225 Er
-3.106 0.690 1.069 Ta
```

- Which value of final energy does entry 2 give?
  -0.6759 Ry/atom

- What is the final energy in the third record?
  -0.7377 Ry/atom